(w)
# K2ReTc, relaxed, DFT GGA-PBE
data_K2ReTc
_chemical_formula_sum 'K4 Re2 Tc2'
_cell_length_a 12.623
_cell_length_b 12.623
_cell_length_c 9.214
_cell_angle_alpha 46.76
_cell_angle_beta 46.76
_cell_angle_gamma 90.00
_symmetry_space_group_name_H-M 'P 1'
_symmetry_Int_Tables_number 1
loop_
_symmetry_equiv_pos_as_xyz
'x,y,z'
loop_
_atom_site_label
_atom_site_type_symbol
_atom_site_fract_x
_atom_site_fract_y
_atom_site_fract_z
Tc1 Tc 0.500 0.500 0.000
Tc2 Tc 0.250 0.750 0.500
K1 K 0.297 0.625 0.250
K2 K 0.375 0.547 0.750
K3 K 0.875 0.703 0.750
K4 K 0.453 0.125 0.250
Re1 Re 0.000 0.000 0.000
Re2 Re 0.750 0.250 0.500
# SG: No. 122
# Total magnetic moment in μB/cell: 1.3

(x)
# K2ReTc, relaxed, DFT GGA-PBE
data_K2ReTc
_chemical_formula_sum 'K2 Re1 Tc1'
_cell_length_a 4.219
_cell_length_b 4.219
_cell_length_c 10.258
_cell_angle_alpha 87.86
_cell_angle_beta 87.86
_cell_angle_gamma 42.67
_symmetry_space_group_name_H-M 'P 1'
_symmetry_Int_Tables_number 1
loop_
_symmetry_equiv_pos_as_xyz
'x,y,z'
loop_
_atom_site_label
_atom_site_type_symbol
_atom_site_fract_x
_atom_site_fract_y
_atom_site_fract_z
K1 K 0.008 0.008 0.916
K2 K 0.241 0.241 0.333
Re1 Re 0.486 0.486 0.581
Tc1 Tc 0.764 0.764 0.670
# SG: No. 8
# Total magnetic moment in μB/cell: 0.0

Last place for stability: (w)

(w)
# K2ReTc, relaxed, DFT GGA-PBE
data_K2ReTc
_chemical_formula_sum 'K2 Re1 Tc1'
_cell_length_a 10.633
_cell_length_b 10.633
_cell_length_c 10.633
_cell_angle_alpha 162.76
_cell_angle_beta 159.10
_cell_angle_gamma 27.22
_symmetry_space_group_name_H-M 'P 1'
_symmetry_Int_Tables_number 1
loop_
_symmetry_equiv_pos_as_xyz
'x,y,z'
loop_
_atom_site_label
_atom_site_type_symbol
_atom_site_fract_x
_atom_site_fract_y
_atom_site_fract_z
Tc1 Tc 0.250 0.750 0.500
Re1 Re 0.750 0.250 0.500
K1 K 0.103 0.103 0.000
K2 K 0.397 0.397 0.000
# SG: No. 71
# Total magnetic moment in μB/cell: 0.0

(x)
# K2ReTc, relaxed, DFT GGA-PBE
data_K2ReTc
_chemical_formula_sum 'K2 Re1 Tc1'
_cell_length_a 5.948
_cell_length_b 2.696
_cell_length_c 5.221
_cell_angle_alpha 78.49
_cell_angle_beta 90.00
_cell_angle_gamma 90.00
_symmetry_space_group_name_H-M 'P 1'
_symmetry_Int_Tables_number 1
loop_
_symmetry_equiv_pos_as_xyz
'x,y,z'
loop_
_atom_site_label
_atom_site_type_symbol
_atom_site_fract_x
_atom_site_fract_y
_atom_site_fract_z
K1 K 0.000 0.506 0.501
K2 K 0.000 0.994 0.999
Re1 Re 0.500 0.250 0.250
Tc1 Tc 0.500 0.750 0.750
# SG: No. 10
# Total magnetic moment in μB/cell: 0.0

(y)
# K2ReTc, relaxed, DFT GGA-PBE
data_K2ReTc
_chemical_formula_sum 'K2 Re1 Tc1'
_cell_length_a 4.656
_cell_length_b 4.656
_cell_length_c 5.159
_cell_angle_alpha 90.00
_cell_angle_beta 90.00
_cell_angle_gamma 90.00
_symmetry_space_group_name_H-M 'P 1'
_symmetry_Int_Tables_number 1
loop_
_symmetry_equiv_pos_as_xyz
'x,y,z'
loop_
_atom_site_label
_atom_site_type_symbol
_atom_site_fract_x
_atom_site_fract_y
_atom_site_fract_z
K1 K 0.000 0.000 0.000
K2 K 0.000 0.000 0.500
Tc1 Tc 0.500 0.500 0.750
Re1 Re 0.500 0.500 0.250
# SG: No. 123
# Total magnetic moment in μB/cell: 4.5

(z)
# K2ReTc, relaxed, DFT GGA-PBE
data_K2ReTc
_chemical_formula_sum 'K2 Re1 Tc1'
_cell_length_a 5.473
_cell_length_b 5.473
_cell_length_c 5.473
_cell_angle_alpha 60.00
_cell_angle_beta 60.00
_cell_angle_gamma 60.00
_symmetry_space_group_name_H-M 'P 1'
_symmetry_Int_Tables_number 1
loop_
_symmetry_equiv_pos_as_xyz
'x,y,z'
loop_
_atom_site_label
_atom_site_type_symbol
_atom_site_fract_x
_atom_site_fract_y
_atom_site_fract_z
Tc1 Tc 0.000 0.000 0.000
K1 K 0.750 0.750 0.750
K2 K 0.250 0.250 0.250
Re1 Re 0.500 0.500 0.500
# SG: No. 225
# Total magnetic moment in μB/cell: 7.0

Last place for stability: (z)

(w)
# K2ReTc, relaxed, DFT GGA-PBE
data_K2ReTc
_chemical_formula_sum 'K2 Re1 Tc1'
_cell_length_a 4.880
_cell_length_b 4.880
_cell_length_c 4.880
_cell_angle_alpha 120.00
_cell_angle_beta 120.00
_cell_angle_gamma 90.00
_symmetry_space_group_name_H-M 'P 1'
_symmetry_Int_Tables_number 1
loop_
_symmetry_equiv_pos_as_xyz
'x,y,z'
loop_
_atom_site_label
_atom_site_type_symbol
_atom_site_fract_x
_atom_site_fract_y
_atom_site_fract_z
Re1 Re 0.500 0.500 0.000
Tc1 Tc 0.750 0.250 0.500
K1 K 0.250 0.750 0.500
K2 K 0.000 0.000 0.000
# SG: No. 216
# Total magnetic moment in μB/cell: 0.0

(x)
# K2ReTc, relaxed, DFT GGA-PBE
data_K2ReTc
_chemical_formula_sum 'K2 Re1 Tc1'
_cell_length_a 3.128
_cell_length_b 4.400
_cell_length_c 5.959
_cell_angle_alpha 90.00
_cell_angle_beta 90.00
_cell_angle_gamma 90.00
_symmetry_space_group_name_H-M 'P 1'
_symmetry_Int_Tables_number 1
loop_
_symmetry_equiv_pos_as_xyz
'x,y,z'
loop_
_atom_site_label
_atom_site_type_symbol
_atom_site_fract_x
_atom_site_fract_y
_atom_site_fract_z
Re1 Re 0.500 0.000 0.500
K1 K 0.000 0.000 0.000
K2 K 0.500 0.500 0.000
Tc1 Tc 0.000 0.500 0.500
# SG: No. 47
# Total magnetic moment in μB/cell: 0.0

(y)
# K2ReTc, relaxed, DFT GGA-PBE
data_K2ReTc
_chemical_formula_sum 'K2 Re1 Tc1'
_cell_length_a 3.742
_cell_length_b 3.015
_cell_length_c 10.728
_cell_angle_alpha 79.14
_cell_angle_beta 90.00
_cell_angle_gamma 90.00
_symmetry_space_group_name_H-M 'P 1'
_symmetry_Int_Tables_number 1
loop_
_symmetry_equiv_pos_as_xyz
'x,y,z'
loop_
_atom_site_label
_atom_site_type_symbol
_atom_site_fract_x
_atom_site_fract_y
_atom_site_fract_z
K1 K 0.500 0.149 0.333
K2 K 0.000 0.098 0.917
Re1 Re 0.000 0.448 0.581
Tc1 Tc 0.500 0.805 0.668
# SG: No. 6
# Total magnetic moment in μB/cell: 0.0

Last place for stability: (w)